(1)
Material: K2BiRh2
Method: DFT, PBE
State: relaxed

Geometry as POSCAR:
```
K2BiRh2
1.0
3.536 0.000 0.000
0.000 3.536 0.000
0.000 0.000 22.871
K Bi Rh
4 2 4
Direct
0.000 0.000 0.122 K
0.000 0.000 0.878 K
0.500 0.500 0.378 K
0.500 0.500 0.622 K
0.000 0.000 0.500 Bi
0.500 0.500 0.000 Bi
0.000 0.500 0.250 Rh
0.000 0.500 0.750 Rh
0.500 0.000 0.250 Rh
0.500 0.000 0.750 Rh
```

Calculated values
Total magnetization in μB per cell: 0.0
Space group: I4/mmm
Calculated total energy in eV/atom: -3.9233

***

(2)
Material: KBi2Rh2
Method: DFT, PBE
State: relaxed

Geometry as POSCAR:
```
KBi2Rh2
1.0
8.378 0.000 0.000
0.000 8.378 0.000
0.000 0.000 3.286
K Bi Rh
2 4 4
Direct
0.000 0.000 0.000 K
0.500 0.500 0.000 K
0.153 0.347 0.500 Bi
0.347 0.847 0.500 Bi
0.653 0.153 0.500 Bi
0.847 0.653 0.500 Bi
0.126 0.626 0.000 Rh
0.374 0.126 0.000 Rh
0.626 0.874 0.000 Rh
0.874 0.374 0.000 Rh
```

Calculated values
Total magnetization in μB per cell: 0.0
Space group: P4/mbm
Calculated total energy in eV/atom: -4.7542

***

(3)
Material: KBi12Rh4
Method: DFT, PBE
State: relaxed

Geometry as POSCAR:
```
KBi12Rh4
1.0
-4.923 4.923 4.923
4.923 -4.923 4.923
4.923 4.923 -4.923
K Bi Rh
1 12 4
Direct
0.000 0.000 0.000 K
0.160 0.338 0.498 Bi
0.160 0.662 0.821 Bi
0.179 0.840 0.338 Bi
0.338 0.179 0.840 Bi
0.338 0.498 0.160 Bi
0.498 0.160 0.338 Bi
0.502 0.840 0.662 Bi
0.662 0.502 0.840 Bi
0.662 0.821 0.160 Bi
0.821 0.160 0.662 Bi
0.840 0.338 0.179 Bi
0.840 0.662 0.502 Bi
0.000 0.000 0.500 Rh
0.000 0.500 0.000 Rh
0.500 0.000 0.000 Rh
0.500 0.500 0.500 Rh
```

Calculated values
Total magnetization in μB per cell: 0.0
Space group: Im-3
Calculated total energy in eV/atom: -4.7450

***

(4)
Material: K2BiRh
Method: DFT, PBE
State: relaxed

Geometry as POSCAR:
```
K2BiRh
1.0
12.560 0.000 0.000
0.000 12.560 0.000
0.000 0.000 5.117
K Bi Rh
8 4 4
Direct
0.039 0.750 0.125 K
0.250 0.039 0.875 K
0.250 0.461 0.375 K
0.461 0.750 0.625 K
0.539 0.250 0.625 K
0.750 0.539 0.375 K
0.750 0.961 0.875 K
0.961 0.250 0.125 K
0.000 0.000 0.500 Bi
0.000 0.500 0.750 Bi
0.500 0.000 0.250 Bi
0.500 0.500 0.000 Bi
0.000 0.000 0.000 Rh
0.000 0.500 0.250 Rh
0.500 0.000 0.750 Rh
0.500 0.500 0.500 Rh
```

Calculated values
Total magnetization in μB per cell: 0.0
Space group: I-42d
Calculated total energy in eV/atom: -3.3068

***

(5)
Material: KZrBiRh2
Method: DFT, PBE
State: relaxed

Geometry as POSCAR:
```
KZrBiRh2
1.0
4.775 0.000 0.000
0.000 4.775 0.000
0.000 0.000 5.009
K Zr Bi Rh
1 1 1 2
Direct
0.000 0.000 0.000 K
0.000 0.000 0.500 Zr
0.500 0.500 0.500 Bi
0.000 0.500 0.000 Rh
0.500 0.000 0.000 Rh
```

Calculated values
Total magnetization in μB per cell: 0.0
Space group: P4/mmm
Calculated total energy in eV/atom: -3.9983

***

(6)
Material: K3BiRu
Method: DFT, PBE
State: relaxed

Geometry as POSCAR:
```
K3BiRu
1.0
6.121 0.000 0.000
0.000 6.121 0.000
0.000 0.000 6.121
K Bi Ru
3 1 1
Direct
0.000 0.000 0.500 K
0.000 0.500 0.000 K
0.500 0.000 0.000 K
0.500 0.500 0.500 Bi
0.000 0.000 0.000 Ru
```

Calculated values
Total magnetization in μB per cell: 4.0
Space group: Pm-3m
Calculated total energy in eV/atom: -2.3648

***

(7)
Material: KBiRu
Method: DFT, PBE
State: relaxed

Geometry as POSCAR:
```
KBiRu
1.0
4.598 0.000 0.000
0.000 4.598 0.000
0.000 0.000 8.195
K Bi Ru
2 2 2
Direct
0.250 0.250 0.169 K
0.750 0.750 0.831 K
0.250 0.250 0.676 Bi
0.750 0.750 0.324 Bi
0.250 0.750 0.500 Ru
0.750 0.250 0.500 Ru
```

Calculated values
Total magnetization in μB per cell: 0.0
Space group: P4/nmm
Calculated total energy in eV/atom: -4.7075

***

(8)
Material: KBi3Ru
Method: DFT, PBE
State: relaxed

Geometry as POSCAR:
```
KBi3Ru
1.0
5.430 0.000 0.000
0.000 5.430 0.000
0.000 0.000 5.430
K Bi Ru
1 3 1
Direct
0.000 0.000 0.000 K
0.000 0.500 0.500 Bi
0.500 0.000 0.500 Bi
0.500 0.500 0.000 Bi
0.500 0.500 0.500 Ru
```

Calculated values
Total magnetization in μB per cell: 0.0
Space group: Pm-3m
Calculated total energy in eV/atom: -4.1765

***

(9)
Material: KBiRu3
Method: DFT, PBE
State: relaxed

Geometry as POSCAR:
```
KBiRu3
1.0
4.763 0.000 0.000
0.000 4.763 0.000
0.000 0.000 4.763
K Bi Ru
1 1 3
Direct
0.000 0.000 0.000 K
0.500 0.500 0.500 Bi
0.000 0.000 0.500 Ru
0.000 0.500 0.000 Ru
0.500 0.000 0.000 Ru
```

Calculated values
Total magnetization in μB per cell: 4.0
Space group: Pm-3m
Calculated total energy in eV/atom: -3.9676

***

(10)
Material: K2BiRu
Method: DFT, PBE
State: relaxed

Geometry as POSCAR:
```
K2BiRu
1.0
12.866 0.000 0.000
0.000 12.866 0.000
0.000 0.000 5.163
K Bi Ru
8 4 4
Direct
0.009 0.750 0.125 K
0.250 0.009 0.875 K
0.250 0.491 0.375 K
0.491 0.750 0.625 K
0.509 0.250 0.625 K
0.750 0.509 0.375 K
0.750 0.991 0.875 K
0.991 0.250 0.125 K
0.000 0.000 0.500 Bi
0.000 0.500 0.750 Bi
0.500 0.000 0.250 Bi
0.500 0.500 0.000 Bi
0.000 0.000 0.000 Ru
0.000 0.500 0.250 Ru
0.500 0.000 0.750 Ru
0.500 0.500 0.500 Ru
```

Calculated values
Total magnetization in μB per cell: 3.9
Space group: I-42d
Calculated total energy in eV/atom: -3.3632

***

(11)
Material: KBiRu3
Method: DFT, PBE
State: relaxed

Geometry as POSCAR:
```
KBiRu3
1.0
5.125 0.000 0.000
0.000 5.125 0.000
0.000 0.000 5.125
K Bi Ru
1 1 3
Direct
0.000 0.000 0.000 K
0.500 0.500 0.500 Bi
0.000 0.500 0.500 Ru
0.500 0.000 0.500 Ru
0.500 0.500 0.000 Ru
```

Calculated values
Total magnetization in μB per cell: 3.8
Space group: Pm-3m
Calculated total energy in eV/atom: -4.8517

***

(12)
Material: KBi3Ru
Method: DFT, PBE
State: relaxed

Geometry as POSCAR:
```
KBi3Ru
1.0
5.670 0.000 0.000
0.000 5.670 0.000
0.000 0.000 5.670
K Bi Ru
1 3 1
Direct
0.000 0.000 0.000 K
0.000 0.000 0.500 Bi
0.000 0.500 0.000 Bi
0.500 0.000 0.000 Bi
0.500 0.500 0.500 Ru
```

Calculated values
Total magnetization in μB per cell: 0.0
Space group: Pm-3m
Calculated total energy in eV/atom: -2.3878

***

(13)
Material: KBi2RuS
Method: DFT, PBE
State: relaxed

Geometry as POSCAR:
```
KBi2RuS
1.0
5.877 0.000 0.000
0.000 5.877 0.000
0.000 0.000 4.708
K Bi Ru S
1 2 1 1
Direct
0.000 0.000 0.000 K
0.000 0.500 0.000 Bi
0.500 0.000 0.000 Bi
0.000 0.000 0.500 Ru
0.500 0.500 0.500 S
```

Calculated values
Total magnetization in μB per cell: 1.4
Space group: P4/mmm
Calculated total energy in eV/atom: -2.5146
Energy relative to the elements, uncorrected in eV/atom: 1.94

***

(14)
Material: KYBiRu2
Method: DFT, PBE
State: relaxed

Geometry as POSCAR:
```
KYBiRu2
1.0
4.946 0.000 0.000
0.000 4.946 0.000
0.000 0.000 5.479
K Y Bi Ru
1 1 1 2
Direct
0.000 0.000 0.000 K
0.000 0.000 0.500 Y
0.500 0.500 0.000 Bi
0.000 0.500 0.500 Ru
0.500 0.000 0.500 Ru
```

Calculated values
Total magnetization in μB per cell: 0.0
Space group: P4/mmm
Calculated total energy in eV/atom: -4.6613

***

(15)
Material: K2BiS3
Method: DFT, PBE
State: relaxed

Geometry as POSCAR:
```
K2BiS3
1.0
6.606 -4.201 0.000
6.606 4.201 0.000
-1.451 0.000 7.283
K Bi S
4 2 6
Direct
0.035 0.281 0.147 K
0.281 0.035 0.647 K
0.719 0.965 0.353 K
0.965 0.719 0.853 K
0.427 0.573 0.250 Bi
0.573 0.427 0.750 Bi
0.128 0.872 0.250 S
0.352 0.353 0.951 S
0.353 0.352 0.451 S
0.647 0.648 0.549 S
0.648 0.647 0.049 S
0.872 0.128 0.750 S
```

Calculated values
Total magnetization in μB per cell: 0.0
Space group: C2/c
Calculated total energy in eV/atom: -3.7787
Energy relative to the elements, uncorrected in eV/atom: -0.70

***

(16)
Material: KBiS2
Method: DFT, PBE
State: relaxed

Geometry as POSCAR:
```
KBiS2
1.0
6.332 0.000 0.000
0.000 4.127 0.000
-0.443 0.000 9.004
K Bi S
2 2 4
Direct
0.247 0.250 0.378 K
0.753 0.750 0.622 K
0.291 0.250 0.867 Bi
0.709 0.750 0.133 Bi
0.259 0.750 0.663 S
0.297 0.750 0.107 S
0.703 0.250 0.893 S
0.741 0.250 0.337 S
```

Calculated values
Total magnetization in μB per cell: 0.0
Space group: P2_1/m
Calculated total energy in eV/atom: -4.0807
Energy relative to the elements, uncorrected in eV/atom: -0.77

***

(17)
Material: KBiS2
Method: DFT, PBE
State: relaxed

Geometry as POSCAR:
```
KBiS2
1.0
4.154 0.000 0.000
-2.077 3.597 0.000
0.000 0.000 22.359
K Bi S
3 3 6
Direct
0.000 0.000 0.000 K
0.333 0.667 0.667 K
0.667 0.333 0.333 K
0.000 0.000 0.500 Bi
0.333 0.667 0.167 Bi
0.667 0.333 0.833 Bi
0.000 0.000 0.237 S
0.000 0.000 0.763 S
0.333 0.667 0.430 S
0.333 0.667 0.904 S
0.667 0.333 0.096 S
0.667 0.333 0.570 S
```

Calculated values
Total magnetization in μB per cell: 0.0
Space group: R-3m
Calculated total energy in eV/atom: -4.1108
Energy relative to the elements, uncorrected in eV/atom: -0.80

***

(18)
Material: KBiS2
Method: DFT, PBE
State: relaxed

Geometry as POSCAR:
```
KBiS2
1.0
3.863 0.000 0.000
0.000 22.512 0.000
0.000 0.000 5.421
K Bi S
4 4 8
Direct
0.000 0.054 0.250 K
0.000 0.946 0.750 K
0.500 0.446 0.750 K
0.500 0.554 0.250 K
0.000 0.318 0.250 Bi
0.000 0.682 0.750 Bi
0.500 0.182 0.750 Bi
0.500 0.818 0.250 Bi
0.000 0.092 0.750 S
0.000 0.196 0.250 S
0.000 0.804 0.750 S
0.000 0.908 0.250 S
0.500 0.304 0.750 S
0.500 0.408 0.250 S
0.500 0.592 0.750 S
0.500 0.696 0.250 S
```

Calculated values
Total magnetization in μB per cell: 0.0
Space group: Cmcm
Calculated total energy in eV/atom: -3.6842
Energy relative to the elements, uncorrected in eV/atom: -0.38

***

(19)
Material: KBiS2
Method: DFT, PBE
State: relaxed

Geometry as POSCAR:
```
KBiS2
1.0
4.207 0.000 0.000
-2.104 3.644 0.000
0.000 0.000 26.512
K Bi S
3 3 6
Direct
0.000 0.000 0.000 K
0.333 0.667 0.667 K
0.667 0.333 0.333 K
0.000 0.000 0.500 Bi
0.333 0.667 0.167 Bi
0.667 0.333 0.833 Bi
0.000 0.000 0.110 S
0.000 0.000 0.890 S
0.333 0.667 0.557 S
0.333 0.667 0.776 S
0.667 0.333 0.224 S
0.667 0.333 0.443 S
```

Calculated values
Total magnetization in μB per cell: 0.0
Space group: R-3m
Calculated total energy in eV/atom: -3.8362
Energy relative to the elements, uncorrected in eV/atom: -0.53

***

(20)
Material: KBiS2
Method: DFT, PBE
State: relaxed

Geometry as POSCAR:
```
KBiS2
1.0
4.188 0.000 0.000
-2.094 3.627 0.000
0.000 0.000 8.094
K Bi S
1 1 2
Direct
0.000 0.000 0.000 K
0.667 0.333 0.559 Bi
0.000 0.000 0.378 S
0.333 0.667 0.762 S
```

Calculated values
Total magnetization in μB per cell: 0.0
Space group: P3m1
Calculated total energy in eV/atom: -4.0232
Energy relative to the elements, uncorrected in eV/atom: -0.71

***

(21)
Material: K5BiS4
Method: DFT, PBE
State: relaxed

Geometry as POSCAR:
```
K5BiS4
1.0
-2.266 4.145 8.680
2.266 -4.145 8.680
2.266 4.145 -8.680
K Bi S
5 1 4
Direct
0.000 0.000 0.000 K
0.087 0.329 0.758 K
0.430 0.671 0.758 K
0.570 0.329 0.242 K
0.913 0.671 0.242 K
0.500 0.000 0.500 Bi
0.268 0.500 0.768 S
0.323 0.823 0.500 S
0.677 0.177 0.500 S
0.732 0.500 0.232 S
```

Calculated values
Total magnetization in μB per cell: 0.0
Space group: Immm
Calculated total energy in eV/atom: -3.4549
Energy relative to the elements, uncorrected in eV/atom: -0.87

***

(22)
Material: KBiS2
Method: DFT, PBE
State: relaxed

Geometry as POSCAR:
```
KBiS2
1.0
4.123 0.000 0.000
-2.061 3.570 0.000
0.000 0.000 7.646
K Bi S
1 1 2
Direct
0.000 0.000 0.000 K
0.000 0.000 0.500 Bi
0.333 0.667 0.291 S
0.667 0.333 0.709 S
```

Calculated values
Total magnetization in μB per cell: 0.0
Space group: P-3m1
Calculated total energy in eV/atom: -4.0816
Energy relative to the elements, uncorrected in eV/atom: -0.77

***

(23)
Material: KBiS2
Method: DFT, PBE
State: relaxed

Geometry as POSCAR:
```
KBiS2
1.0
8.010 0.000 0.000
0.000 4.100 0.000
0.000 0.000 15.674
K Bi S
4 4 8
Direct
0.067 0.250 0.113 K
0.433 0.750 0.613 K
0.567 0.250 0.387 K
0.933 0.750 0.887 K
0.023 0.750 0.388 Bi
0.477 0.250 0.888 Bi
0.523 0.750 0.112 Bi
0.977 0.250 0.612 Bi
0.099 0.750 0.707 S
0.215 0.250 0.500 S
0.285 0.750 0.000 S
0.401 0.250 0.207 S
0.599 0.750 0.793 S
0.715 0.250 0.000 S
0.785 0.750 0.500 S
0.901 0.250 0.293 S
```

Calculated values
Total magnetization in μB per cell: 0.0
Space group: Pnma
Calculated total energy in eV/atom: -4.0100
Energy relative to the elements, uncorrected in eV/atom: -0.70

***

(24)
Material: KBiS2
Method: DFT, PBE
State: relaxed

Geometry as POSCAR:
```
KBiS2
1.0
7.432 0.000 0.000
0.000 7.432 0.000
0.000 0.000 10.494
K Bi S
4 4 8
Direct
0.000 0.000 0.000 K
0.000 0.500 0.250 K
0.500 0.000 0.750 K
0.500 0.500 0.500 K
0.000 0.000 0.500 Bi
0.000 0.500 0.750 Bi
0.500 0.000 0.250 Bi
0.500 0.500 0.000 Bi
0.198 0.750 0.625 S
0.250 0.198 0.375 S
0.250 0.302 0.875 S
0.302 0.750 0.125 S
0.698 0.250 0.125 S
0.750 0.698 0.875 S
0.750 0.802 0.375 S
0.802 0.250 0.625 S
```

Calculated values
Total magnetization in μB per cell: 0.0
Space group: I-42d
Calculated total energy in eV/atom: -3.9435
Energy relative to the elements, uncorrected in eV/atom: -0.64

***

(25)
Material: KBiS2
Method: DFT, PBE
State: relaxed

Geometry as POSCAR:
```
KBiS2
1.0
4.263 0.000 0.000
0.000 23.484 0.000
0.000 0.000 5.288
K Bi S
4 4 8
Direct
0.000 0.179 0.250 K
0.000 0.821 0.750 K
0.500 0.321 0.750 K
0.500 0.679 0.250 K
0.000 0.424 0.250 Bi
0.000 0.576 0.750 Bi
0.500 0.076 0.750 Bi
0.500 0.924 0.250 Bi
0.000 0.318 0.250 S
0.000 0.439 0.750 S
0.000 0.561 0.250 S
0.000 0.682 0.750 S
0.500 0.061 0.250 S
0.500 0.182 0.750 S
0.500 0.818 0.250 S
0.500 0.939 0.750 S
```

Calculated values
Total magnetization in μB per cell: 0.0
Space group: Cmcm
Calculated total energy in eV/atom: -3.7830
Energy relative to the elements, uncorrected in eV/atom: -0.47